<i>
The following is a PBE calculation of a geometry-optimized ZrAl3V structure, from the Alexandria database.

Computed properties:
Space group: No. 221
DOS(E_F), states/eV/f.u.: 5.203
Spin magnetization, μB per formula unit: 0.00

Unit cell a=4.6249 b=4.6249 c=4.6249 alpha=90.00 beta=90.00 gamma=90.00
Last column: nearest neighbours and their distance in Å.
Element x y z (fractional)
Zr: 0.0000 0.0000 0.0000  12 Al 3.27
Al: 0.0000 0.5000 0.5000  2 V 2.31
Al: 0.5000 0.0000 0.5000  2 V 2.31
Al: 0.5000 0.5000 0.0000  2 V 2.31
V: 0.5000 0.5000 0.5000  6 Al 2.31

<ii>
The following is a PBE calculation of a geometry-optimized ZrAl3V structure, from the Alexandria database.

Computed properties:
Space group: No. 221
DOS(E_F), states/eV/f.u.: 4.997
Spin magnetization, μB per formula unit: 2.80

Unit cell a=5.0819 b=5.0819 c=5.0819 alpha=90.00 beta=90.00 gamma=90.00
Last column: nearest neighbours and their distance in Å.
Element x y z (fractional)
Zr: 0.0000 0.0000 0.0000  6 Al 2.54
Al: 0.0000 0.0000 0.5000  2 Zr 2.54
Al: 0.0000 0.5000 0.0000  2 Zr 2.54
Al: 0.5000 0.0000 0.0000  2 Zr 2.54
V: 0.5000 0.5000 0.5000  12 Al 3.59

Bottom line: <i>, by a margin of 806 meV per atom.

<i>
The following is a PBE calculation of a geometry-optimized ZrAlV3 structure, from the Alexandria database.

Computed properties:
Space group: No. 221
DOS(E_F), states/eV/f.u.: 7.300
Spin magnetization, μB per formula unit: 0.00

Unit cell a=4.5154 b=4.5154 c=4.5154 alpha=90.00 beta=90.00 gamma=90.00
Last column: nearest neighbours and their distance in Å.
Element x y z (fractional)
Zr: 0.0000 0.0000 0.0000  12 V 3.19
Al: 0.5000 0.5000 0.5000  6 V 2.26
V: 0.0000 0.5000 0.5000  2 Al 2.26
V: 0.5000 0.0000 0.5000  2 Al 2.26
V: 0.5000 0.5000 0.0000  2 Al 2.26

<ii>
The following is a PBE calculation of a geometry-optimized ZrAlV3 structure, from the Alexandria database.

Computed properties:
Space group: No. 221
DOS(E_F), states/eV/f.u.: 9.167
Spin magnetization, μB per formula unit: 0.00

Unit cell a=4.6257 b=4.6257 c=4.6257 alpha=90.00 beta=90.00 gamma=90.00
Last column: nearest neighbours and their distance in Å.
Element x y z (fractional)
Zr: 0.0000 0.0000 0.0000  6 V 2.31
Al: 0.5000 0.5000 0.5000  12 V 3.27
V: 0.0000 0.0000 0.5000  2 Zr 2.31
V: 0.0000 0.5000 0.0000  2 Zr 2.31
V: 0.5000 0.0000 0.0000  2 Zr 2.31

Bottom line: <i>, by a margin of 582 meV per atom.

<i>
The following is a PBE calculation of a geometry-optimized AlW5 structure, from the Alexandria database.

Computed properties:
Space group: No. 191
DOS(E_F), states/eV/f.u.: 4.800
Spin magnetization, μB per formula unit: 0.00

Unit cell a=5.2131 b=5.2131 c=4.6268 alpha=90.00 beta=90.00 gamma=120.00
Last column: nearest neighbours and their distance in Å.
Element x y z (fractional)
Al: 0.0000 0.0000 0.0000  6 W 3.01
W: 0.0000 0.5000 0.5000  8 W 2.61-2.76
W: 0.3333 0.6667 0.0000  9 W 2.76-3.01, 3 Al 3.01
W: 0.5000 0.0000 0.5000  8 W 2.61-2.76
W: 0.5000 0.5000 0.5000  8 W 2.61-2.76
W: 0.6667 0.3333 0.0000  9 W 2.76-3.01, 3 Al 3.01

<ii>
The following is a PBE calculation of a geometry-optimized AlW5 structure, from the Alexandria database.

Computed properties:
Space group: No. 189
DOS(E_F), states/eV/f.u.: 7.082
Spin magnetization, μB per formula unit: 0.00

Unit cell a=4.8312 b=4.8312 c=4.7837 alpha=90.00 beta=90.00 gamma=120.00
Last column: nearest neighbours and their distance in Å.
Element x y z (fractional)
Al: 0.0000 0.0000 0.0000  12 W 2.79-2.87
W: 0.0000 0.6700 0.5000  10 W 2.76-2.89, 2 Al 2.87
W: 0.3300 0.3300 0.5000  10 W 2.76-2.89, 2 Al 2.87
W: 0.3333 0.6667 0.0000  3 Al 2.79, 9 W 2.79-2.89
W: 0.6667 0.3333 0.0000  3 Al 2.79, 9 W 2.79-2.89
W: 0.6700 0.0000 0.5000  10 W 2.76-2.89, 2 Al 2.87

Bottom line: <ii>, by a margin of 317 meV per atom.

<i>
The following is a PBE calculation of a geometry-optimized AlW5 structure, from the Alexandria database.

Computed properties:
Space group: No. 65
DOS(E_F), states/eV/f.u.: 2.540
Spin magnetization, μB per formula unit: 0.00

Unit cell a=6.8817 b=6.8817 c=4.4798 alpha=90.00 beta=90.00 gamma=153.17
Last column: nearest neighbours and their distance in Å.
Element x y z (fractional)
Al: 0.0000 0.0000 0.0000  8 W 2.75-2.79
W: 0.1617 0.8383 0.5000  8 W 2.69-2.85
W: 0.3289 0.6711 0.0000  6 W 2.65-2.75, 2 Al 2.79
W: 0.5000 0.5000 0.5000  4 W 2.69, 4 Al 2.75
W: 0.6711 0.3289 0.0000  6 W 2.65-2.75, 2 Al 2.79
W: 0.8383 0.1617 0.5000  8 W 2.69-2.85

<ii>
The following is a PBE calculation of a geometry-optimized AlW5 structure, from the Alexandria database.

Computed properties:
Space group: No. 8
DOS(E_F), states/eV/f.u.: 4.465
Spin magnetization, μB per formula unit: 0.00

Unit cell a=5.4891 b=5.4891 c=7.0541 alpha=105.32 beta=105.32 gamma=28.36
Last column: nearest neighbours and their distance in Å.
Element x y z (fractional)
Al: 0.0000 0.0000 0.0000  2 Al 2.69, 10 W 2.83-2.87
W: 0.0588 0.0588 0.6286  11 W 2.69-2.97, 1 Al 2.85
W: 0.3316 0.3316 0.6671  10 W 2.69-2.97, 2 Al 2.87
W: 0.4006 0.4006 0.2869  10 W 2.69-2.97, 2 Al 2.86
W: 0.6637 0.6637 0.3281  10 W 2.69-2.97, 2 Al 2.83
W: 0.7272 0.7272 0.9581  9 W 2.69-2.92, 3 Al 2.84-2.85

<iii>
The following is a PBE calculation of a geometry-optimized AlW5 structure, from the Alexandria database.

Computed properties:
Space group: No. 216
DOS(E_F), states/eV/f.u.: 3.020
Spin magnetization, μB per formula unit: 0.00

Unit cell a=5.2386 b=5.2386 c=5.2386 alpha=60.00 beta=60.00 gamma=60.00
Last column: nearest neighbours and their distance in Å.
Element x y z (fractional)
Al: 0.0000 0.0000 0.0000  16 W 3.07-3.21
W: 0.3749 0.3749 0.3749  6 W 2.62
W: 0.3749 0.3749 0.8753  6 W 2.62
W: 0.3749 0.8753 0.3749  6 W 2.62
W: 0.7500 0.7500 0.7500  12 W 3.07, 4 Al 3.21
W: 0.8753 0.3749 0.3749  6 W 2.62

<iv>
The following is a PBE calculation of a geometry-optimized AlW5 structure, from the Alexandria database.

Computed properties:
Space group: No. 123
DOS(E_F), states/eV/f.u.: 3.333
Spin magnetization, μB per formula unit: 0.00

Unit cell a=2.7008 b=2.7008 c=13.2870 alpha=90.00 beta=90.00 gamma=90.00
Last column: nearest neighbours and their distance in Å.
Element x y z (fractional)
Al: 0.0000 0.0000 0.0000  4 Al 2.70, 8 W 2.82
W: 0.0000 0.0000 0.3290  12 W 2.70-2.98
W: 0.0000 0.0000 0.6710  12 W 2.70-2.98
W: 0.5000 0.5000 0.1564  8 W 2.70-2.98, 4 Al 2.82
W: 0.5000 0.5000 0.5000  12 W 2.70-2.97
W: 0.5000 0.5000 0.8436  8 W 2.70-2.98, 4 Al 2.82

Bottom line: <i>, by a margin of 244 meV per atom.

<i>
The following is a PBE calculation of a geometry-optimized Al3W5 structure, from the Alexandria database.

Computed properties:
Space group: No. 193
DOS(E_F), states/eV/f.u.: 4.976
Spin magnetization, μB per formula unit: 0.00

Unit cell a=7.5281 b=7.5281 c=5.0889 alpha=90.00 beta=90.00 gamma=120.00
Last column: nearest neighbours and their distance in Å.
Element x y z (fractional)
Al: 0.0000 0.4041 0.2500  9 W 2.62-2.88, 2 Al 2.93
Al: 0.0000 0.5959 0.7500  9 W 2.62-2.88, 2 Al 2.93
Al: 0.4041 0.0000 0.2500  9 W 2.62-2.88, 2 Al 2.93
Al: 0.4041 0.4041 0.7500  9 W 2.62-2.88, 2 Al 2.93
Al: 0.5959 0.0000 0.7500  9 W 2.62-2.88, 2 Al 2.93
Al: 0.5959 0.5959 0.2500  9 W 2.62-2.88, 2 Al 2.93
W: 0.0000 0.2235 0.7500  5 Al 2.64-2.88, 2 W 2.91
W: 0.0000 0.7765 0.2500  5 Al 2.64-2.88, 2 W 2.91
W: 0.2235 0.0000 0.7500  5 Al 2.64-2.88, 2 W 2.91
W: 0.2235 0.2235 0.2500  5 Al 2.64-2.88, 2 W 2.91
W: 0.3333 0.6667 0.0000  2 W 2.54, 6 Al 2.62
W: 0.3333 0.6667 0.5000  2 W 2.54, 6 Al 2.62
W: 0.6667 0.3333 0.0000  2 W 2.54, 6 Al 2.62
W: 0.6667 0.3333 0.5000  2 W 2.54, 6 Al 2.62
W: 0.7765 0.0000 0.2500  5 Al 2.64-2.88, 2 W 2.91
W: 0.7765 0.7765 0.7500  5 Al 2.64-2.88, 2 W 2.91

<ii>
The following is a PBE calculation of a geometry-optimized Al3W5 structure, from the Alexandria database.

Computed properties:
Space group: No. 65
DOS(E_F), states/eV/f.u.: 4.670
Spin magnetization, μB per formula unit: 0.00

Unit cell a=6.1510 b=6.1510 c=3.2984 alpha=90.00 beta=90.00 gamma=90.04
Last column: nearest neighbours and their distance in Å.
Element x y z (fractional)
Al: 0.0000 0.0000 0.0000  4 W 2.70, 4 Al 2.75
Al: 0.2533 0.2533 0.5000  6 W 2.71-2.73, 2 Al 2.75
Al: 0.7467 0.7467 0.5000  6 W 2.71-2.73, 2 Al 2.75
W: 0.0000 0.5000 0.0000  4 W 2.73, 4 Al 2.73
W: 0.2461 0.7539 0.5000  2 Al 2.70, 6 W 2.73-2.76
W: 0.5000 0.0000 0.0000  4 W 2.73, 4 Al 2.73
W: 0.5000 0.5000 0.0000  4 Al 2.71, 4 W 2.76
W: 0.7539 0.2461 0.5000  2 Al 2.70, 6 W 2.73-2.76

Bottom line: <ii>, by a margin of 111 meV per atom.

<i>
The following is a PBE calculation of a geometry-optimized Al4W5 structure, from the Alexandria database.

Computed properties:
Space group: No. 139
DOS(E_F), states/eV/f.u.: 6.356
Spin magnetization, μB per formula unit: 0.00

Unit cell a=6.7463 b=6.7463 c=6.7463 alpha=93.47 beta=93.47 gamma=151.51
Last column: nearest neighbours and their distance in Å.
Element x y z (fractional)
Al: 0.0000 0.3249 0.3249  5 W 2.70-3.00, 4 Al 2.83
Al: 0.0000 0.6751 0.6751  5 W 2.70-3.00, 4 Al 2.83
Al: 0.3249 0.0000 0.3249  5 W 2.70-3.00, 4 Al 2.83
Al: 0.6751 0.0000 0.6751  5 W 2.70-3.00, 4 Al 2.83
W: 0.0000 0.0000 0.0000  8 W 2.77, 4 Al 3.00
W: 0.3300 0.3300 0.6599  4 W 2.67-2.77, 4 Al 2.70
W: 0.3300 0.6700 0.0000  4 W 2.67-2.77, 4 Al 2.70
W: 0.6700 0.3300 0.0000  4 W 2.67-2.77, 4 Al 2.70
W: 0.6700 0.6700 0.3401  4 W 2.67-2.77, 4 Al 2.70

<ii>
The following is a PBE calculation of a geometry-optimized Al4W5 structure, from the Alexandria database.

Computed properties:
Space group: No. 193
DOS(E_F), states/eV/f.u.: 5.521
Spin magnetization, μB per formula unit: 0.00

Unit cell a=7.8020 b=7.8020 c=5.2548 alpha=90.00 beta=90.00 gamma=120.00
Last column: nearest neighbours and their distance in Å.
Element x y z (fractional)
Al: 0.0000 0.0000 0.0000  6 W 2.59, 2 Al 2.63
Al: 0.0000 0.0000 0.5000  6 W 2.59, 2 Al 2.63
Al: 0.0000 0.3848 0.2500  9 W 2.57-2.76
Al: 0.0000 0.6152 0.7500  9 W 2.57-2.76
Al: 0.3848 0.0000 0.2500  9 W 2.57-2.76
Al: 0.3848 0.3848 0.7500  9 W 2.57-2.76
Al: 0.6152 0.0000 0.7500  9 W 2.57-2.76
Al: 0.6152 0.6152 0.2500  9 W 2.57-2.76
W: 0.0000 0.2862 0.7500  7 Al 2.57-2.74
W: 0.0000 0.7138 0.2500  7 Al 2.57-2.74
W: 0.2862 0.0000 0.7500  7 Al 2.57-2.74
W: 0.2862 0.2862 0.2500  7 Al 2.57-2.74
W: 0.3333 0.6667 0.0000  2 W 2.63, 6 Al 2.76
W: 0.3333 0.6667 0.5000  2 W 2.63, 6 Al 2.76
W: 0.6667 0.3333 0.0000  2 W 2.63, 6 Al 2.76
W: 0.6667 0.3333 0.5000  2 W 2.63, 6 Al 2.76
W: 0.7138 0.0000 0.2500  7 Al 2.57-2.74
W: 0.7138 0.7138 0.7500  7 Al 2.57-2.74

Bottom line: <i>, by a margin of 107 meV per atom.